a) {"formula": "Dy4Tm5Th2", "functional": "GGA-PBE", "state": "optimized geometry", "cell": [[6.557, 0.000, 0.000], [0.000, 19.066, 0.000], [0.000, 0.000, 5.569]], "species": ["Dy", "Dy", "Dy", "Dy", "Dy", "Dy", "Dy", "Dy", "Tm", "Tm", "Tm", "Tm", "Tm", "Tm", "Tm", "Tm", "Tm", "Tm", "Th", "Th", "Th", "Th"], "fractional_positions": [[0.094, 0.135, 0.000], [0.223, 0.484, 0.000], [0.277, 0.984, 0.000], [0.406, 0.635, 0.000], [0.594, 0.365, 0.000], [0.723, 0.016, 0.000], [0.777, 0.516, 0.000], [0.906, 0.865, 0.000], [0.000, 0.000, 0.500], [0.032, 0.592, 0.500], [0.114, 0.783, 0.500], [0.386, 0.283, 0.500], [0.468, 0.092, 0.500], [0.500, 0.500, 0.500], [0.532, 0.908, 0.500], [0.614, 0.717, 0.500], [0.886, 0.217, 0.500], [0.968, 0.408, 0.500], [0.087, 0.303, 0.000], [0.413, 0.803, 0.000], [0.587, 0.197, 0.000], [0.913, 0.697, 0.000]], "sg": "Pbam, No. 55"}

b) {"formula": "Dy4Tm5Th2", "functional": "GGA-PBE", "state": "optimized geometry", "cell": [[-1.658, 3.737, 14.808], [1.658, -3.737, 14.808], [1.658, 3.737, -14.808]], "species": ["Dy", "Dy", "Dy", "Dy", "Tm", "Tm", "Tm", "Tm", "Tm", "Th", "Th"], "fractional_positions": [[0.176, 0.500, 0.676], [0.189, 0.189, 0.000], [0.811, 0.811, 0.000], [0.824, 0.500, 0.324], [0.143, 0.396, 0.747], [0.351, 0.604, 0.747], [0.500, 0.000, 0.500], [0.649, 0.396, 0.253], [0.857, 0.604, 0.253], [0.303, 0.303, 0.000], [0.697, 0.697, 0.000]], "sg": "Immm, No. 71"}

Most stable to least stable, the ends of the list are a) and b).